Entry from Alexandria: Ce2MgAg after structural relaxation (PBE).

Calculated values
- VASP energy (eV/cell) = -16.0
- polymorph energy (0 for the lowest one) (kJ/mol of atoms) = 10.4
- ΔH_f (0 K) (eV per atom) = 0.0782

Cell lengths 5.349, 5.349, 5.349 Å; angles 60.00, 60.00, 60.00 degrees
Each line ends with the local moment (μB).
Atoms (fractional coordinates):
Ce  0.750  0.750  0.750  0.95
Mg  0.000  0.000  0.000  0.00
Ce  0.250  0.250  0.250  0.95
Ag  0.500  0.500  0.500  0.04

=====

Entry from Alexandria: Ce2MgAg after structural relaxation (PBE).

Calculated values
- VASP energy (eV/cell) = -16.4
- polymorph energy (0 for the lowest one) (kJ/mol of atoms) = 0.0
- ΔH_f (0 K) (eV per atom) = -0.0295

Cell lengths 5.106, 4.293, 4.293 Å; angles 90.00, 90.00, 90.00 degrees
Each line ends with the local moment (μB).
Atoms (fractional coordinates):
Ag  0.500  0.000  0.000  0.01
Mg  0.500  0.500  0.500  0.00
Ce  0.000  0.500  0.000  0.30
Ce  0.000  0.000  0.500  0.30

=====

Entry from Alexandria: CeMg4Ag after structural relaxation (PBE).

Calculated values
- VASP energy (eV/cell) = -31.3
- ΔH_f (0 K) (eV per atom) = -0.0791

Cell lengths 4.305, 7.727, 8.712 Å; angles 90.00, 90.00, 90.00 degrees
Each line ends with the local moment (μB).
Atoms (fractional coordinates):
Mg  0.500  0.692  0.445  0.00
Ag  0.000  0.206  0.750  0.00
Mg  0.000  0.000  0.000  0.00
Mg  0.500  0.056  0.250  0.00
Ce  0.000  0.389  0.250  0.90
Mg  0.500  0.308  0.945  0.00
Mg  0.500  0.692  0.055  0.00
Ag  0.000  0.794  0.250  0.00
Mg  0.000  0.000  0.500  0.00
Mg  0.500  0.944  0.750  0.00
Ce  0.000  0.611  0.750  0.90
Mg  0.500  0.308  0.555  0.00

=====

Entry from Alexandria: CeNdMgAg after structural relaxation (PBE).

Calculated values
- VASP energy (eV/cell) = -15.2
- ΔH_f (0 K) (eV per atom) = -0.0185

Cell lengths 5.387, 5.387, 5.387 Å; angles 60.00, 60.00, 60.00 degrees
Each line ends with the local moment (μB).
Atoms (fractional coordinates):
Mg  0.750  0.750  0.750  0.00
Ag  0.250  0.250  0.250  0.03
Ce  0.000  0.000  0.000  0.92
Nd  0.500  0.500  0.500  0.16